Ba2MgIn | GGA-PBEsol | relaxed

Spin magnetization ... 0.00 μB/f.u.
DOS(E_F) ... 0.803 states/eV/atom
Energy ... -40.05 eV per cell
Calculated formation energy ... -0.254 eV/atom

a b c (Å): 8.436 8.436 8.436
angles (deg): 90.00 90.00 90.00
Space group Fm-3m (No. 225)
Asymmetric unit:
Ba  0.250  0.250  0.250 (multiplicity 8)
Mg  0.000  0.000  0.000 (multiplicity 4)
In  0.000  0.000  0.500 (multiplicity 4)

---

Ba2MgIn | GGA-PBEsol | relaxed

Spin magnetization ... 0.00 μB/f.u.
DOS(E_F) ... 0.656 states/eV/atom
Energy ... -9.99 eV per cell
Calculated formation energy ... -0.249 eV/atom

a b c (Å): 4.038 5.883 6.193
angles (deg): 90.00 90.00 90.00
Space group Pmm2 (No. 25)
Asymmetric unit:
Ba  0.000  0.000  0.000 (multiplicity 1)
Ba  0.000  0.500  0.415 (multiplicity 1)
Mg  0.500  0.000  0.528 (multiplicity 1)
In  0.500  0.500  0.895 (multiplicity 1)

---

BaMnIn | GGA-PBEsol | relaxed

Spin magnetization ... 3.51 μB/f.u.
DOS(E_F) ... 0.810 states/eV/atom
Energy ... -14.21 eV per cell
Calculated formation energy ... 0.227 eV/atom

a b c (Å): 4.7624 4.7624 4.6745
angles (deg): 90.00 90.00 120.00
Space group P-6m2 (No. 187)
Asymmetric unit:
Ba  0.0000  0.0000  0.0000 (multiplicity 1)
Mn  0.6667  0.3333  0.5000 (multiplicity 1)
In  0.3333  0.6667  0.5000 (multiplicity 1)

---

BaMnIn | GGA-PBEsol | relaxed

Spin magnetization ... 4.08 μB/f.u.
DOS(E_F) ... 0.842 states/eV/atom
Energy ... -48.22 eV per cell
Calculated formation energy ... 0.946 eV/atom

a b c (Å): 7.530 7.530 7.530
angles (deg): 90.00 90.00 90.00
Space group F-43m (No. 216)
Asymmetric unit:
Ba  0.000  0.000  0.000 (multiplicity 4)
Mn  0.250  0.250  0.750 (multiplicity 4)
In  0.250  0.250  0.250 (multiplicity 4)

---

Ba2InMo | GGA-PBEsol | relaxed

Spin magnetization ... 4.37 μB/f.u.
DOS(E_F) ... 0.682 states/eV/atom
Energy ... -65.66 eV per cell
Calculated formation energy ... 0.658 eV/atom

a b c (Å): 7.849 7.849 7.849
angles (deg): 90.00 90.00 90.00
Space group F-43m (No. 216)
Asymmetric unit:
Ba  0.000  0.000  0.000 (multiplicity 4)
Ba  0.250  0.250  0.250 (multiplicity 4)
In  0.250  0.250  0.750 (multiplicity 4)
Mo  0.000  0.000  0.500 (multiplicity 4)

---

Ba2InMoOs | GGA-PBEsol | relaxed

Spin magnetization ... 4.61 μB/f.u.
DOS(E_F) ... 0.631 states/eV/atom
Energy ... -25.11 eV per cell
Calculated formation energy ... 1.230 eV/atom

a b c (Å): 5.714 5.714 5.189
angles (deg): 90.00 90.00 90.00
Space group P4/mmm (No. 123)
Asymmetric unit:
Ba  0.000  0.500  0.000 (multiplicity 2)
In  0.000  0.000  0.500 (multiplicity 1)
Mo  0.500  0.500  0.500 (multiplicity 1)
Os  0.000  0.000  0.000 (multiplicity 1)

---

Ba6In5N | GGA-PBEsol | relaxed

Spin magnetization ... 0.00 μB/f.u.
DOS(E_F) ... 0.721 states/eV/atom
Energy ... -253.63 eV per cell
Formation energy without anion corrections ... -0.495 eV per atom

a b c (Å): 8.1616 8.1616 43.7970
angles (deg): 90.00 90.00 120.00
Space group R-3c (No. 167, hexagonal axes)
Asymmetric unit:
Ba  0.0152  0.4482  0.2017 (multiplicity 36)
In  0.0000  0.0000  0.1933 (multiplicity 12)
In  0.0000  0.2157  0.7500 (multiplicity 18)
N  0.0000  0.0000  0.0000 (multiplicity 6)

---

BaIn3N | GGA-PBEsol | relaxed

Spin magnetization ... 0.00 μB/f.u.
DOS(E_F) ... 0.874 states/eV/atom
Energy ... -18.08 eV per cell
Formation energy without anion corrections ... 0.309 eV per atom

a b c (Å): 5.001 5.001 5.001
angles (deg): 90.00 90.00 90.00
Space group Pm-3m (No. 221)
Asymmetric unit:
Ba  0.000  0.000  0.000 (multiplicity 1)
In  0.000  0.500  0.500 (multiplicity 3)
N  0.500  0.500  0.500 (multiplicity 1)

---

BaInN2 | GGA-PBEsol | relaxed

Spin magnetization ... 0.83 μB/f.u.
DOS(E_F) ... 0.948 states/eV/atom
Energy ... -88.49 eV per cell
Formation energy without anion corrections ... 0.015 eV per atom

a b c (Å): 6.263 6.263 7.571
angles (deg): 90.00 90.00 90.00
Space group I-42d (No. 122)
Asymmetric unit:
Ba  0.000  0.000  0.000 (multiplicity 4)
In  0.000  0.000  0.500 (multiplicity 4)
N  0.179  0.750  0.625 (multiplicity 8)

---

BaInS2N | GGA-PBEsol | relaxed

Spin magnetization ... 3.94 μB/f.u.
DOS(E_F) ... 0.881 states/eV/atom
Energy ... -18.66 eV per cell
Formation energy without anion corrections ... 0.753 eV per atom

a b c (Å): 5.802 5.802 5.157
angles (deg): 90.00 90.00 90.00
Space group P4/mmm (No. 123)
Asymmetric unit:
Ba  0.000  0.000  0.000 (multiplicity 1)
In  0.500  0.500  0.500 (multiplicity 1)
S  0.000  0.500  0.000 (multiplicity 2)
N  0.000  0.000  0.500 (multiplicity 1)

---

BaInTe2N | GGA-PBEsol | relaxed

Spin magnetization ... 1.99 μB/f.u.
DOS(E_F) ... 0.526 states/eV/atom
Energy ... -21.16 eV per cell
Formation energy without anion corrections ... -0.089 eV per atom

a b c (Å): 5.890 5.890 4.238
angles (deg): 90.00 90.00 90.00
Space group P4/mmm (No. 123)
Asymmetric unit:
Ba  0.000  0.000  0.000 (multiplicity 1)
In  0.500  0.500  0.500 (multiplicity 1)
Te  0.000  0.500  0.500 (multiplicity 2)
N  0.500  0.500  0.000 (multiplicity 1)

---

Ba2NaIn2 | GGA-PBEsol | relaxed

Spin magnetization ... 0.00 μB/f.u.
DOS(E_F) ... 0.797 states/eV/atom
Energy ... -26.03 eV per cell
Calculated formation energy ... -0.270 eV/atom

a b c (Å): 9.695 9.695 4.084
angles (deg): 90.00 90.00 90.00
Space group P4/mbm (No. 127)
Asymmetric unit:
Ba  0.180  0.320  0.000 (multiplicity 4)
Na  0.000  0.000  0.500 (multiplicity 2)
In  0.114  0.614  0.500 (multiplicity 4)